VASP calculation (GGA-PBE) on Ca2AcEr after structural relaxation.

abc: 8.5331 8.5331 8.5331
angles: 90.00 90.00 90.00
Closest atoms and distances in Å follow each position.
Space group Fm-3m (No. 225)
Unique sites:
Ca (0.2500, 0.2500, 0.2500) [8 per cell]  4 Ac 3.69, 4 Er 3.69
Ac (0.0000, 0.0000, 0.0000) [4 per cell]  8 Ca 3.69
Er (0.0000, 0.0000, 0.5000) [4 per cell]  8 Ca 3.69

- electronic total energy (eV/atom) = -3.031
- V (Å³/atom) = 38.83
- calculated formation energy (eV per atom) = 0.137
- energy above the lowest structure with this stoichiometry (kJ/mol of atoms) = 2.97

---

VASP calculation (GGA-PBE) on Li3Fe after structural relaxation.

abc: 5.0923 5.0923 5.0923
angles: 90.00 90.00 90.00
Closest atoms and distances in Å follow each position.
Space group Pm-3m (No. 221)
Unique sites:
Li (0.0000, 0.0000, 0.5000) [3 per cell]  2 Fe 2.55
Fe (0.0000, 0.0000, 0.0000) [1 per cell]  6 Li 2.55

- electronic total energy (eV/atom) = -2.538
- V (Å³/atom) = 33.01
- calculated formation energy (eV per atom) = 1.013

---

VASP calculation (GGA-PBE) on Tb2CdRu after structural relaxation.

abc: 3.7579 3.7579 25.4440
angles: 90.00 90.00 120.00
Closest atoms and distances in Å follow each position.
Space group R-3m (No. 166, hexagonal axes)
Unique sites:
Tb (0.0000, 0.0000, 0.2339) [6 per cell]  3 Ru 2.76
Cd (0.0000, 0.0000, 0.0000) [3 per cell]  6 Tb 3.33
Ru (0.0000, 0.0000, 0.5000) [3 per cell]  6 Tb 2.76

- electronic total energy (eV/atom) = -5.024
- V (Å³/atom) = 25.93
- calculated formation energy (eV per atom) = -0.161

---

VASP calculation (GGA-PBE) on LiLa6Tb after structural relaxation.

abc: 5.2329 5.2329 20.0404
angles: 90.00 90.00 90.00
Closest atoms and distances in Å follow each position.
Space group I4/mmm (No. 139)
Unique sites:
Li (0.0000, 0.0000, 0.0000) [2 per cell]  8 La 3.56, 4 Tb 3.70
La (0.0000, 0.0000, 0.2485) [4 per cell]  12 La 3.66-3.70
La (0.0000, 0.5000, 0.1206) [8 per cell]  2 Tb 3.56, 2 Li 3.56, 8 La 3.66-3.70
Tb (0.0000, 0.0000, 0.5000) [2 per cell]  8 La 3.56, 4 Li 3.70

- electronic total energy (eV/atom) = -4.440
- V (Å³/atom) = 34.30
- calculated formation energy (eV per atom) = 0.074

---

VASP calculation (GGA-PBE) on Ce2PuFeN4 after structural relaxation.

abc: 3.4397 11.3510 11.7039
angles: 90.00 90.00 90.00
Closest atoms and distances in Å follow each position.
Space group Cmcm (No. 63)
Unique sites:
Ce (0.0000, 0.1318, 0.0561) [8 per cell]  6 N 2.37-2.49
Pu (0.0000, 0.3947, 0.2500) [4 per cell]  6 N 2.44-2.64
Fe (0.0000, 0.3440, 0.7500) [4 per cell]  4 N 1.94-2.12
N (0.0000, 0.0469, 0.2500) [4 per cell]  2 Fe 2.12
N (0.0000, 0.2282, 0.6278) [8 per cell]  1 Fe 1.94
N (0.0000, 0.5000, 0.0000) [4 per cell]  4 Ce 2.37

- electronic total energy (eV/atom) = -9.538
- V (Å³/atom) = 14.28
- raw formation energy (meV/atom) = -1042

---

VASP calculation (GGA-PBE) on Cs2LaMg2Te4 after structural relaxation.

abc: 17.4465 4.6368 9.2119
angles: 90.00 107.79 90.00
Closest atoms and distances in Å follow each position.
Space group C2/m (No. 12)
Unique sites:
Cs (0.1272, 0.0000, 0.0449) [4 per cell]  7 Te 3.89-4.08, 1 Cs 4.26
La (0.0000, 0.0000, 0.5000) [2 per cell]  6 Te 3.29-3.40
Mg (0.1705, 0.5000, 0.4776) [4 per cell]  4 Te 2.77-2.91
Te (0.0200, 0.5000, 0.2607) [4 per cell]  1 Mg 2.77
Te (0.2030, 0.0000, 0.6680) [4 per cell]  3 Mg 2.86-2.91

- electronic total energy (eV/atom) = -3.587
- V (Å³/atom) = 39.42
- raw formation energy (meV/atom) = -1099